# 1
Compound: MgTaRu2
Source: Alexandria via LeMat-Bulk
Functional: GGA-PBE
Structure: relaxed

Calculated values
As for the space group: P4/mmm, No. 123. Its total magnetic moment is 0.00 μB per cell. The total DFT energy (no corrections) comes out at -8.369 eV/atom.

Unit cell a=3.150 b=3.150 c=6.300 alpha=90.00 beta=90.00 gamma=90.00
Sites, in units of the cell vectors:
1 Ru 0.000 0.000 0.010
2 Ru 0.000 0.000 0.490
3 Mg 0.500 0.500 0.750
4 Ta 0.500 0.500 0.250



# 2
Compound: MoPbS3
Source: Alexandria via LeMat-Bulk
Functional: GGA-PBE
Structure: relaxed

Calculated values
As for the space group: Pm-3m, No. 221. Its total magnetic moment is 3.49 μB per cell. The distance to the lowest polymorph of the same formula is 1384 meV/atom.

Unit cell a=5.101 b=5.101 c=5.101 alpha=90.00 beta=90.00 gamma=90.00
Site moments in Bohr magnetons follow the coordinates.
Sites, in units of the cell vectors:
1 Pb 0.000 0.000 0.000  0.01
2 Mo 0.500 0.500 0.500  3.63
3 S 0.000 0.500 0.000  -0.25
4 S 0.000 0.000 0.500  -0.13
5 S 0.500 0.000 0.000  -0.17



# 3
Compound: K4CdRh
Source: Alexandria via LeMat-Bulk
Functional: GGA-PBE
Structure: relaxed

Calculated values
As for the space group: F-43m, No. 216. Its total magnetic moment is 0.00 μB per cell. The total DFT energy (no corrections) comes out at -1.397 eV/atom.

Unit cell a=6.802 b=6.802 c=6.802 alpha=60.00 beta=60.00 gamma=60.00
Sites, in units of the cell vectors:
1 K 0.872 0.376 0.376
2 K 0.376 0.376 0.872
3 K 0.376 0.872 0.376
4 K 0.376 0.376 0.376
5 Cd 0.000 0.000 0.000
6 Rh 0.750 0.750 0.750